A plane-wave DFT calculation with PBE-GGA was carried out for a relaxed structure of CoCu2As.

a b c (Å): 2.6490 2.6490 7.7364
angles (deg): 90.00 90.00 90.00
With the nearest neighbours (Å) after each atom.
Space group P4/mmm (No. 123)
One atom of each set of equivalent atoms:
Co 0.0000 0.0000 0.0000 x1  8 Cu 2.55, 4 Co 2.65
Cu 0.5000 0.5000 0.2244 x2  4 Co 2.55, 4 Cu 2.65, 4 As 2.84
As 0.0000 0.0000 0.5000 x1  4 As 2.65, 8 Cu 2.84

Computed properties:
crystal system	tetragonal
ΔH_f (0 K)	0.26	eV per atom

=====

A plane-wave DFT calculation with PBE-GGA was carried out for a relaxed structure of CoCuAs2.

a b c (Å): 4.5630 3.7111 7.7524
angles (deg): 90.00 90.00 90.00
With the nearest neighbours (Å) after each atom.
Space group Amm2 (No. 38)
One atom of each set of equivalent atoms:
Co 0.0000 0.0000 0.0000 x2  5 As 2.36-2.47
Cu 0.5000 0.0000 0.1766 x2  5 As 2.32-2.51
As 0.0000 0.0000 0.3128 x2  3 Co 2.36-2.42, 2 Cu 2.51
As 0.5000 0.0000 0.8776 x2  3 Cu 2.32-2.42, 2 Co 2.47

Computed properties:
relative energy among the computed polymorphs	0.00	eV/f.u.
crystal system	orthorhombic
ΔH_f (0 K)	0.02	eV per atom

=====

A plane-wave DFT calculation with PBE-GGA was carried out for a relaxed structure of CoCuAs6.

a b c (Å): 11.9007 8.3903 8.4748
angles (deg): 90.00 134.39 90.00
With the nearest neighbours (Å) after each atom.
Space group C2/m (No. 12)
One atom of each set of equivalent atoms:
Co 0.2500 0.2500 0.0000 x4  6 As 2.35-2.38
Cu 0.2500 0.2500 0.5000 x4  6 As 2.45-2.52
As 0.0092 0.1504 0.8580 x8  1 Co 2.35, 1 Cu 2.52, 2 As 2.52-2.57
As 0.1425 0.5000 0.2926 x4  2 Cu 2.45, 2 As 2.54-2.58
As 0.1486 0.3478 0.6583 x8  1 Co 2.37, 1 Cu 2.49, 2 As 2.54-2.55
As 0.1603 0.5000 0.0107 x4  2 Co 2.38, 2 As 2.54-2.58

Computed properties:
crystal system	monoclinic
ΔH_f (0 K)	-0.10	eV per atom

=====

A plane-wave DFT calculation with PBE-GGA was carried out for a relaxed structure of CoCuAs.

a b c (Å): 3.9251 3.9251 2.9853
angles (deg): 90.00 90.00 120.00
With the nearest neighbours (Å) after each atom.
Space group P-6m2 (No. 187)
One atom of each set of equivalent atoms:
Co 0.0000 0.0000 0.0000 x1  3 As 2.27
Cu 0.6667 0.3333 0.5000 x1  6 Co 2.71, 6 As 2.71, 2 Cu 2.99
As 0.3333 0.6667 0.0000 x1  3 Co 2.27

Computed properties:
crystal system	hexagonal
ΔH_f (0 K)	0.07	eV per atom

=====

A plane-wave DFT calculation with PBE-GGA was carried out for a relaxed structure of CoCuAs2.

a b c (Å): 2.8061 3.6590 11.7281
angles (deg): 90.00 90.00 90.00
With the nearest neighbours (Å) after each atom.
Space group Imm2 (No. 44)
One atom of each set of equivalent atoms:
Co 0.0000 0.0000 0.0000 x2  6 As 2.42
Cu 0.0000 0.5000 0.7167 x2  6 As 2.57-2.67, 2 Cu 2.81
As 0.0000 0.0000 0.5628 x2  4 Co 2.42, 2 Cu 2.57
As 0.0000 0.5000 0.3314 x2  2 Co 2.42, 4 Cu 2.67

Computed properties:
relative energy among the computed polymorphs	0.13	eV/f.u.
crystal system	orthorhombic
ΔH_f (0 K)	0.05	eV per atom

=====

A plane-wave DFT calculation with PBE-GGA was carried out for a relaxed structure of CoCuAs2.

a b c (Å): 7.8622 2.9935 6.0247
angles (deg): 90.00 109.09 90.00
With the nearest neighbours (Å) after each atom.
Space group Cm (No. 8)
One atom of each set of equivalent atoms:
Co 0.0000 0.0000 0.0000 x2  5 As 2.39-2.54, 3 Cu 2.50-2.60
Cu 0.2247 0.0000 0.7877 x2  3 As 2.31-2.45, 1 Co 2.50
As 0.2474 0.5000 0.1541 x2  3 Co 2.39-2.45, 2 Cu 2.62
As 0.4654 0.0000 0.6470 x2  3 Cu 2.31-2.45, 2 Co 2.54

Computed properties:
relative energy among the computed polymorphs	0.19	eV/f.u.
crystal system	monoclinic
ΔH_f (0 K)	0.06	eV per atom

=====

no.,uncorrected energy (eV/cell)
1,-18.89
2,-40.88
3,-159.50
4,-15.65
5,-40.62
6,-40.51